Record 1
A relaxed structure of Mg2AgBr, computed with GGA-PBE.

Lattice parameters (Å, degrees): 3.337 3.337 8.962 90.00 90.00 90.80
Sites, in units of the cell vectors:
Mg (0.000, 0.000, 0.000)
Mg (0.500, 0.500, 0.266)
Ag (0.000, 0.000, 0.445)
Br (0.500, 0.500, 0.826)

Values from the calculation:
The value obtained for the formation energy (no corrections) is -0.27 eV/atom. As for the energy above the lowest structure with this stoichiometry: 0.184 eV per atom.

Record 2
A relaxed structure of KCr2OsBr, computed with GGA-PBE.

Lattice parameters (Å, degrees): 4.443 4.443 5.216 90.00 90.00 90.00
Sites, in units of the cell vectors:
K (0.000, 0.000, 0.000)
Cr (0.000, 0.500, 0.500)
Cr (0.500, 0.000, 0.500)
Os (0.500, 0.500, 0.000)
Br (0.000, 0.000, 0.500)

Values from the calculation:
The value obtained for the formation energy (no corrections) is 2.23 eV/atom.

Record 3
A relaxed structure of VTe2N, computed with GGA-PBE.

Lattice parameters (Å, degrees): 7.371 7.371 7.371 29.53 29.53 29.53
Sites, in units of the cell vectors:
V (0.000, 0.000, 0.000)
Te (0.408, 0.408, 0.408)
Te (0.592, 0.592, 0.592)
N (0.500, 0.500, 0.500)

Values from the calculation:
The value obtained for the formation energy (no corrections) is 0.68 eV/atom.

Record 4
A relaxed structure of KMgBeF6, computed with GGA-PBE.

Lattice parameters (Å, degrees): 5.047 5.047 5.786 90.00 90.00 120.00
Sites, in units of the cell vectors:
K (0.000, 0.000, 0.000)
Mg (0.333, 0.667, 0.500)
Be (0.667, 0.333, 0.500)
F (0.391, 0.036, 0.674)
F (0.391, 0.355, 0.326)
F (0.645, 0.036, 0.326)
F (0.645, 0.609, 0.674)
F (0.964, 0.355, 0.674)
F (0.964, 0.609, 0.326)

Values from the calculation:
The value obtained for the formation energy (no corrections) is -2.76 eV/atom.

Record 5
A relaxed structure of In2GaIr, computed with GGA-PBE.

Lattice parameters (Å, degrees): 3.915 8.988 4.977 90.00 112.96 90.00
Sites, in units of the cell vectors:
In (0.144, 0.059, 0.285)
In (0.144, 0.441, 0.285)
In (0.856, 0.559, 0.715)
In (0.856, 0.941, 0.715)
Ga (0.449, 0.250, 0.897)
Ga (0.551, 0.750, 0.103)
Ir (0.256, 0.750, 0.512)
Ir (0.744, 0.250, 0.488)

Values from the calculation:
The value obtained for the energy of formation from the pure elements is -0.130 eV/atom.

Record 6
A relaxed structure of MgMoAu2, computed with GGA-PBE.

Lattice parameters (Å, degrees): 4.804 4.804 5.546 97.33 97.33 33.87
Sites, in units of the cell vectors:
Mg (0.000, 0.000, 0.000)
Mo (0.500, 0.500, 0.500)
Au (0.249, 0.249, 0.744)
Au (0.751, 0.751, 0.256)

Values from the calculation:
The value obtained for the energy of formation from the pure elements is 0.146 eV/atom.

| no. | DOS(E_F) (states/eV/f.u.) | uncorrected energy (eV per atom) |
| --- | --- | --- |
| 1 | 1.01 | -2.199 |
| 2 | 10.56 | -4.419 |
| 3 | 1.61 | -5.251 |
| 4 | 9.80 | -4.718 |
| 5 | 1.66 | -4.471 |
| 6 | 3.40 | -4.599 |